A geometry-optimized CeEuDy2 structure, computed with PBE.

Cell and atoms, written as POSCAR:
```
CeEuDy2
1.0
5.7553 0.0000 0.0000
2.8776 4.9842 0.0000
2.8776 1.6614 4.6992
Eu Ce Dy
1 1 2
direct
0.0000 0.0000 0.0000
0.5000 0.5000 0.5000
0.2500 0.2500 0.2500
0.7500 0.7500 0.7500
```

Summary:
As for the symmetry: Fm-3m. Its relative energy among the computed polymorphs is 144 meV/atom. The crystal system is cubic.


A geometry-optimized Cs2PtCl4 structure, computed with PBE.

Cell and atoms, written as POSCAR:
```
Cs2PtCl4
1.0
-0.2810 0.9473 4.7268
-7.5005 0.1376 -0.4734
-0.2276 -7.3693 1.4634
Cs Pt Cl
2 1 4
direct
0.5000 0.0000 0.5000
0.5000 0.5000 0.0000
0.0000 0.0000 0.0000
0.0000 0.2193 0.7807
0.0000 0.2193 0.2193
0.0000 0.7807 0.7807
0.0000 0.7807 0.2193
```

Summary:
As for the symmetry: P4/mmm. The calculation puts the electronic total energy at -3.54 eV per atom. The crystal system is tetragonal.